w | ## Mn4Hg3 (PBE)

Data for an optimized crystal structure of Mn4Hg3.

a = 5.5944 Å, b = 5.5944 Å, c = 4.9880 Å
α = 90.00°, β = 90.00°, γ = 120.00°
Closest atoms and distances in Å follow each position.
Positions (direct):
Mn: 0.0000 0.0000 0.2444  2 Mn 2.44-2.55
Mn: 0.0000 0.0000 0.7556  2 Mn 2.44-2.55
Mn: 0.3333 0.6667 0.0000  6 Hg 2.97, 3 Mn 3.23
Mn: 0.6667 0.3333 0.0000  6 Hg 2.97, 3 Mn 3.23
Hg: 0.0000 0.5000 0.5000  4 Hg 2.80, 8 Mn 2.97-3.07
Hg: 0.5000 0.0000 0.5000  4 Hg 2.80, 8 Mn 2.97-3.07
Hg: 0.5000 0.5000 0.5000  4 Hg 2.80, 8 Mn 2.97-3.07

Values from the calculation:
Density of states at the Fermi level, states/eV/atom: 0.7249



x | ## Mn4Hg3 (PBE)

Data for an optimized crystal structure of Mn4Hg3.

a = 13.9211 Å, b = 13.9211 Å, c = 13.9211 Å
α = 167.65°, β = 167.65°, γ = 17.50°
Closest atoms and distances in Å follow each position.
Positions (direct):
Mn: 0.0715 0.0715 0.0000  8 Mn 2.70-3.00, 4 Hg 2.89
Mn: 0.3678 0.3678 0.0000  8 Mn 2.70-3.00, 4 Hg 2.89
Mn: 0.6322 0.6322 0.0000  8 Mn 2.70-3.00, 4 Hg 2.89
Mn: 0.9285 0.9285 0.0000  8 Mn 2.70-3.00, 4 Hg 2.89
Hg: 0.2037 0.2037 0.0000  4 Mn 2.89, 4 Hg 3.00
Hg: 0.5000 0.5000 0.0000  8 Mn 2.89, 4 Hg 3.00
Hg: 0.7963 0.7963 0.0000  4 Mn 2.89, 4 Hg 3.00

Values from the calculation:
Density of states at the Fermi level, states/eV/atom: 0.4403



Here is how they stack up, most stable first: x, w.



w | ## MnHg2Mo (PBE)

Data for an optimized crystal structure of MnHg2Mo.

a = 5.1011 Å, b = 5.1011 Å, c = 5.1083 Å
α = 103.88°, β = 103.88°, γ = 34.51°
Closest atoms and distances in Å follow each position.
Positions (direct):
Mn: 0.0000 0.0000 0.0000  2 Mo 2.51
Hg: 0.5289 0.5289 0.5394  4 Mn 2.87-3.09, 5 Hg 2.90-3.06, 3 Mo 2.95-3.00
Hg: 0.7572 0.7572 0.2675  4 Mo 2.90-3.08, 5 Hg 2.90-3.06, 3 Mn 2.95-3.01
Mo: 0.2934 0.2934 0.8055  2 Mn 2.51

Values from the calculation:
Density of states at the Fermi level, states/eV/atom: 0.7140



x | ## MnHg2Mo (PBE)

Data for an optimized crystal structure of MnHg2Mo.

a = 5.1878 Å, b = 5.1878 Å, c = 2.8704 Å
α = 90.00°, β = 90.00°, γ = 110.60°
Closest atoms and distances in Å follow each position.
Positions (direct):
Mn: 0.0000 0.0000 0.0000  2 Mn 2.87, 2 Mo 2.95, 8 Hg 2.96
Hg: 0.0000 0.5000 0.5000  4 Hg 2.87-2.95, 4 Mn 2.96, 4 Mo 2.96
Hg: 0.5000 0.0000 0.5000  4 Hg 2.87-2.95, 4 Mn 2.96, 4 Mo 2.96
Mo: 0.5000 0.5000 0.0000  2 Mo 2.87, 2 Mn 2.95, 8 Hg 2.96

Values from the calculation:
Density of states at the Fermi level, states/eV/atom: 0.7315



y | ## MnHg2Mo (PBE)

Data for an optimized crystal structure of MnHg2Mo.

a = 5.0624 Å, b = 5.0624 Å, c = 5.0624 Å
α = 130.82°, β = 130.82°, γ = 72.10°
Closest atoms and distances in Å follow each position.
Positions (direct):
Mn: 0.0000 0.0000 0.0000  8 Hg 2.94, 4 Mo 2.98
Hg: 0.2500 0.7500 0.5000  4 Mo 2.94, 4 Mn 2.94, 4 Hg 2.98
Hg: 0.7500 0.2500 0.5000  4 Mo 2.94, 4 Mn 2.94, 4 Hg 2.98
Mo: 0.5000 0.5000 0.0000  8 Hg 2.94, 4 Mn 2.98

Values from the calculation:
Density of states at the Fermi level, states/eV/atom: 0.6772



z | ## MnHg2Mo (PBE)

Data for an optimized crystal structure of MnHg2Mo.

a = 3.0629 Å, b = 3.0867 Å, c = 7.6873 Å
α = 90.00°, β = 90.19°, γ = 90.00°
Closest atoms and distances in Å follow each position.
Positions (direct):
Mn: 0.0000 0.0000 0.0000  4 Mo 2.50-2.51
Hg: 0.5025 0.5000 0.2501  4 Mn 2.90, 8 Hg 3.06-3.25, 1 Mo 3.17
Hg: 0.9976 0.0000 0.5624  4 Mo 3.03-3.04, 8 Hg 3.06-3.25, 1 Mn 3.36
Mo: 0.5008 0.5000 0.8380  4 Mn 2.50-2.51

Values from the calculation:
Density of states at the Fermi level, states/eV/atom: 0.5053



Here is how they stack up, most stable first: z, x, w, y.